1.
Density functional theory data (PBE-GGA) for a relaxed structure of BaIrNF2.

Results
- calculated density (g/cm3) = 7.50
- symmetry = No. 123
- energy above the most stable polymorph in this dataset (eV per atom) = 0.000

Unit cell a=4.7535 b=4.7535 c=3.7397 alpha=90.00 beta=90.00 gamma=90.00
Last column: nearest neighbours and their distance in Å.
Positions (direct):
F1 0.5000 0.0000 0.0000  2 Ir 2.38
F2 0.0000 0.5000 0.0000  2 Ir 2.38
Ba1 0.5000 0.5000 0.5000  8 F 3.02, 4 N 3.36
N1 0.0000 0.0000 0.5000  2 Ir 1.87
Ir1 0.0000 0.0000 0.0000  2 N 1.87

2.
Density functional theory data (PBE-GGA) for a relaxed structure of Ba2IrNF.

Results
- DFT total energy (eV/atom) = -5.886
- calculated density (g/cm3) = 6.84
- symmetry = No. 123

Unit cell a=5.6639 b=5.6639 c=3.7833 alpha=90.00 beta=90.00 gamma=90.00
Last column: nearest neighbours and their distance in Å.
Positions (direct):
Ba1 0.0000 0.5000 0.0000  2 N 2.83
Ba2 0.5000 0.0000 0.0000  2 N 2.83
N1 0.0000 0.0000 0.0000  2 Ir 1.89
Ir1 0.0000 0.0000 0.5000  2 N 1.89
F1 0.5000 0.5000 0.5000  8 Ba 3.41, 2 F 3.78

3.
Density functional theory data (PBE-GGA) for a relaxed structure of BaIrNF2.

Results
- calculated density (g/cm3) = 4.53
- symmetry = No. 123
- energy above the most stable polymorph in this dataset (eV per atom) = 1.604

Unit cell a=4.9530 b=4.9530 c=5.7059 alpha=90.00 beta=90.00 gamma=90.00
Last column: nearest neighbours and their distance in Å.
Positions (direct):
Ba1 0.0000 0.0000 0.0000  4 F 2.48
F1 0.5000 0.0000 0.0000  2 Ba 2.48
F2 0.0000 0.5000 0.0000  2 Ba 2.48
N1 0.0000 0.0000 0.5000  2 Ba 2.85
Ir1 0.5000 0.5000 0.5000  4 N 3.50, 8 F 3.78

4.
Density functional theory data (PBE-GGA) for a relaxed structure of BaNaIrF6.

Results
- DFT total energy (eV/atom) = -5.123
- calculated density (g/cm3) = 4.90
- symmetry = No. 149

Unit cell a=5.5724 b=5.7247 c=5.7247 alpha=120.00 beta=90.00 gamma=90.00
Last column: nearest neighbours and their distance in Å.
Positions (direct):
F1 0.7100 0.2970 0.0098  1 Ir 2.04
F2 0.2900 0.2970 0.2872  1 Ir 2.04
F3 0.7100 0.9902 0.2872  1 Ir 2.04
F4 0.7100 0.7128 0.7030  1 Ir 2.04
F5 0.2900 0.7128 0.0098  1 Ir 2.04
F6 0.2900 0.9902 0.7030  1 Ir 2.04
Ir1 0.5000 0.0000 0.0000  6 F 2.04
Ba1 0.0000 0.3333 0.6667  6 F 2.63
Na1 0.5000 0.6667 0.3333  6 F 2.32

5.
Density functional theory data (PBE-GGA) for a relaxed structure of BaNa2IrF8.

Results
- DFT total energy (eV/atom) = -4.866
- calculated density (g/cm3) = 4.53
- symmetry = No. 10

Unit cell a=4.5230 b=5.5570 c=7.7024 alpha=89.97 beta=89.98 gamma=90.99
Last column: nearest neighbours and their distance in Å.
Positions (direct):
Ba1 0.0000 0.0000 0.5000  8 F 2.58-2.78
Na1 0.5002 0.5002 0.2517  6 F 2.34-2.58
Na2 0.4998 0.4998 0.7483  6 F 2.34-2.58
F1 0.6613 0.7787 0.0000  1 Ir 1.95
F2 0.8645 0.2133 0.1904  1 Ir 1.99
F3 0.8648 0.2135 0.8095  1 Ir 1.99
F4 0.4799 0.2590 0.5000  2 Na 2.34, 1 Ba 2.58
F5 0.1355 0.7867 0.8096  1 Ir 1.99
F6 0.5201 0.7410 0.5000  2 Na 2.34, 1 Ba 2.58
F7 0.3387 0.2213 0.0000  1 Ir 1.95
F8 0.1352 0.7865 0.1905  1 Ir 1.99
Ir1 0.0000 0.0000 0.0000  6 F 1.95-1.99

6.
Density functional theory data (PBE-GGA) for a relaxed structure of BaIrO2F.

Results
- DFT total energy (eV/atom) = -4.227
- calculated density (g/cm3) = 5.44
- symmetry = No. 123

Unit cell a=4.8940 b=4.8940 c=4.8454 alpha=90.00 beta=90.00 gamma=90.00
Last column: nearest neighbours and their distance in Å.
Positions (direct):
O1 0.0000 0.5000 0.0000  2 Ba 2.45
O2 0.5000 0.0000 0.0000  2 Ba 2.45
Ir1 0.5000 0.5000 0.5000  8 O 3.44, 4 F 3.46
F1 0.0000 0.0000 0.5000  2 Ba 2.42
Ba1 0.0000 0.0000 0.0000  2 F 2.42, 4 O 2.45

7.
Density functional theory data (PBE-GGA) for a relaxed structure of BaIrO2F.

Results
- DFT total energy (eV/atom) = -6.223
- calculated density (g/cm3) = 7.49
- symmetry = No. 123

Unit cell a=3.8450 b=3.8450 c=5.7027 alpha=90.00 beta=90.00 gamma=90.00
Last column: nearest neighbours and their distance in Å.
Positions (direct):
O1 0.5000 0.0000 0.0000  2 Ir 1.92
O2 0.0000 0.5000 0.0000  2 Ir 1.92
Ba1 0.5000 0.5000 0.5000  4 F 2.72
F1 0.0000 0.0000 0.5000  4 Ba 2.72, 2 Ir 2.85
Ir1 0.0000 0.0000 0.0000  4 O 1.92

8.
Density functional theory data (PBE-GGA) for a relaxed structure of BaIrPtF2.

Results
- DFT total energy (eV/atom) = -4.480
- calculated density (g/cm3) = 7.89
- symmetry = No. 123

Unit cell a=4.1446 b=6.8976 c=4.1446 alpha=90.00 beta=90.00 gamma=90.00
Last column: nearest neighbours and their distance in Å.
Positions (direct):
F1 0.5000 0.0000 0.0000  2 Ir 2.07
F2 0.0000 0.0000 0.5000  2 Ir 2.07
Ir1 0.0000 0.0000 0.0000  4 F 2.07
Pt1 0.5000 0.5000 0.5000  4 Ba 2.93
Ba1 0.0000 0.5000 0.0000  4 Pt 2.93